Here is a relaxed structure of Rb3Na from Alexandria via LeMat-Bulk. Energies are from GGA-PBEsol. Values from VASP.

The value obtained for the total magnetization is 0.00 μB/cell. As for the space group: Pm-3m (221). Its formation energy is 0.03 eV per atom.

```
&SYSTEM
  ibrav = 0, nat = 4, ntyp = 2
/
ATOMIC_SPECIES
Na 22.99 Na.upf
Rb 85.47 Rb.upf
CELL_PARAMETERS angstrom
-4.6963 -3.1100 3.4156
3.5940 -5.5199 -0.0843
2.9019 1.8034 5.6320
ATOMIC_POSITIONS crystal
Na 0.0000 0.0000 0.0000
Rb 0.0000 0.5000 0.5000
Rb 0.5000 0.0000 0.5000
Rb 0.5000 0.5000 0.0000
```